Record 1
Material: LiAcNdPb
Method: DFT, PBE
State: relaxed

a b c (Å): 5.639 5.639 5.639
angles (deg): 60.00 60.00 60.00
Sites, in units of the cell vectors:
Li  0.000  0.000  0.000
Ac  0.750  0.750  0.750
Pb  0.500  0.500  0.500
Nd  0.250  0.250  0.250

Calculated values
space-group type: F-43m
VASP energy: -15.61 eV for the cell shown
crystal system: cubic

Record 2
Material: BaTl2GaAu
Method: DFT, PBE
State: relaxed

a b c (Å): 5.637 5.637 4.974
angles (deg): 90.00 90.00 90.00
Sites, in units of the cell vectors:
Tl  0.000  0.500  0.000
Tl  0.500  0.000  0.000
Ba  0.500  0.500  0.500
Ga  0.000  0.000  0.000
Au  0.000  0.000  0.500

Calculated values
space-group type: P4/mmm
VASP energy: -13.90 eV for the cell shown
crystal system: tetragonal

Record 3
Material: KCrIr2
Method: DFT, PBE
State: relaxed

a b c (Å): 6.067 6.067 6.067
angles (deg): 153.91 128.88 58.28
Last column: magnetic moment on the atom in μB.
Sites, in units of the cell vectors:
Cr  0.205  0.705  0.500  3.03
K  0.502  0.502  0.000  0.01
Ir  0.001  0.001  0.000  -0.35
Ir  0.792  0.292  0.500  -0.44

Calculated values
space-group type: Imm2
energy above the lowest structure with this stoichiometry: 11.19 kcal/mol of atoms
crystal system: orthorhombic

Record 4
Material: RbTi3Cr
Method: DFT, PBE
State: relaxed

a b c (Å): 4.817 4.817 4.817
angles (deg): 90.00 90.00 90.00
Last column: magnetic moment on the atom in μB.
Sites, in units of the cell vectors:
Ti  0.000  0.500  0.000  0.39
Ti  0.500  0.000  0.000  0.47
Ti  0.000  0.000  0.500  0.32
Rb  0.500  0.500  0.500  0.02
Cr  0.000  0.000  0.000  -0.54

Calculated values
space-group type: Pm-3m
energy above the lowest structure with this stoichiometry: 0.00 kcal/mol of atoms
crystal system: cubic

Record 5
Material: VTcP
Method: DFT, PBE
State: relaxed

a b c (Å): 2.851 4.061 4.061
angles (deg): 120.00 90.00 90.00
Sites, in units of the cell vectors:
Tc  0.167  0.333  0.667
P  0.166  0.000  0.000
V  0.667  0.667  0.333

Calculated values
space-group type: P-6m2
energy above the lowest structure with this stoichiometry: 6.06 kcal/mol of atoms
crystal system: hexagonal

Record 6
Material: GdCuPt
Method: DFT, PBE
State: relaxed

a b c (Å): 3.625 3.625 5.089
angles (deg): 110.86 110.86 90.00
Last column: magnetic moment on the atom in μB.
Sites, in units of the cell vectors:
Cu  0.624  0.624  0.248  0.00
Gd  0.945  0.945  0.889  7.02
Pt  0.282  0.282  0.563  0.00

Calculated values
space-group type: I4mm
energy above the lowest structure with this stoichiometry: 2.94 kcal/mol of atoms
crystal system: tetragonal

> Number 4 is which compound?

RbTi3Cr